(1)
# Zr2AlTl

An optimized crystal structure of Zr2AlTl (PBE-GGA, Alexandria via LeMat-Bulk).

## Properties
Energy relative to the elements ... -0.128 eV/atom
E ... -23.72 eV for the cell shown
Space group ... No. 6

a = 5.0929 Å, b = 3.1750 Å, c = 5.2922 Å
α = 86.84°, β = 90.00°, γ = 90.00°
Closest atoms and distances in Å follow each position.
Element x y z (fractional)
Zr (0.5000, 0.1886, 0.3083)  4 Tl 2.97-3.27, 4 Al 2.97-3.19, 4 Zr 3.18-3.21
Al (0.0000, 0.6106, 0.4370)  8 Zr 2.87-3.19, 2 Al 3.18, 2 Tl 3.20
Zr (0.0000, 0.0607, 0.9523)  4 Al 2.87-3.18, 2 Tl 3.00, 4 Zr 3.18-3.21
Tl (0.5000, 0.6401, 0.8025)  8 Zr 2.97-3.27, 2 Tl 3.18, 2 Al 3.20

(2)
# Zr2AlTl2

An optimized crystal structure of Zr2AlTl2 (PBE-GGA, Alexandria via LeMat-Bulk).

## Properties
Energy relative to the elements ... 0.060 eV/atom
E ... -50.54 eV for the cell shown
Space group ... No. 127

a = 7.3179 Å, b = 7.3179 Å, c = 4.4838 Å
α = 90.00°, β = 90.00°, γ = 90.00°
Closest atoms and distances in Å follow each position.
Element x y z (fractional)
Zr (0.1555, 0.3445, 0.0000)  2 Al 2.77, 2 Tl 2.98
Zr (0.8445, 0.6555, 0.0000)  2 Al 2.77, 2 Tl 2.98
Zr (0.3445, 0.8445, 0.0000)  2 Al 2.77, 2 Tl 2.98
Zr (0.6555, 0.1555, 0.0000)  2 Al 2.77, 2 Tl 2.98
Al (0.0000, 0.0000, 0.0000)  4 Zr 2.77
Tl (0.3449, 0.1551, 0.5000)  6 Zr 2.98-3.19, 1 Tl 3.21
Tl (0.8449, 0.3449, 0.5000)  6 Zr 2.98-3.19, 1 Tl 3.21
Al (0.5000, 0.5000, 0.0000)  4 Zr 2.77
Tl (0.6551, 0.8449, 0.5000)  6 Zr 2.98-3.19, 1 Tl 3.21
Tl (0.1551, 0.6551, 0.5000)  6 Zr 2.98-3.19, 1 Tl 3.21

(3)
# ZrAlTl2

An optimized crystal structure of ZrAlTl2 (PBE-GGA, Alexandria via LeMat-Bulk).

## Properties
Energy relative to the elements ... 0.240 eV/atom
E ... -16.06 eV for the cell shown
Space group ... No. 65

a = 3.2946 Å, b = 3.2946 Å, c = 9.9821 Å
α = 90.00°, β = 90.00°, γ = 117.50°
Closest atoms and distances in Å follow each position.
Element x y z (fractional)
Al (0.5000, 0.5000, 0.7500)  4 Tl 2.96, 4 Al 3.29
Tl (0.0000, 0.0000, 0.5078)  2 Al 2.96, 2 Zr 3.09, 4 Tl 3.29
Tl (0.0000, 0.0000, 0.9922)  2 Al 2.96, 2 Zr 3.09, 4 Tl 3.29
Zr (0.5000, 0.5000, 0.2500)  4 Tl 3.09, 6 Zr 3.29-3.42

(4)
# ZrAl2Tl

An optimized crystal structure of ZrAl2Tl (PBE-GGA, Alexandria via LeMat-Bulk).

## Properties
Energy relative to the elements ... 0.303 eV/atom
E ... -17.19 eV for the cell shown
Space group ... No. 216

a = 4.9374 Å, b = 4.9374 Å, c = 4.9374 Å
α = 60.00°, β = 60.00°, γ = 60.00°
Closest atoms and distances in Å follow each position.
Element x y z (fractional)
Tl (0.5000, 0.5000, 0.5000)  4 Zr 3.02, 4 Al 3.02
Zr (0.7500, 0.7500, 0.7500)  4 Tl 3.02, 4 Al 3.02
Al (0.0000, 0.0000, 0.0000)  4 Zr 3.02, 4 Al 3.02
Al (0.2500, 0.2500, 0.2500)  4 Al 3.02, 4 Tl 3.02

(5)
# Tm3Al

An optimized crystal structure of Tm3Al (PBE-GGA, Alexandria via LeMat-Bulk).

## Properties
Energy relative to the elements ... -0.200 eV/atom
E ... -17.96 eV for the cell shown
Space group ... No. 71

a = 3.6704 Å, b = 5.2051 Å, c = 6.4067 Å
α = 113.97°, β = 106.65°, γ = 90.00°
Closest atoms and distances in Å follow each position.
Element x y z (fractional)
Tm (0.2820, 0.6987, 0.5641)  2 Al 3.04, 4 Tm 3.26
Tm (0.5000, 0.4167, 0.0000)  4 Al 3.18, 4 Tm 3.56
Al (0.0000, 0.9167, 0.0000)  8 Tm 3.04-3.18
Tm (0.7180, 0.1346, 0.4359)  2 Al 3.04, 4 Tm 3.26

(6)
# TmAl6

An optimized crystal structure of TmAl6 (PBE-GGA, Alexandria via LeMat-Bulk).

## Properties
Energy relative to the elements ... 0.575 eV/atom
E ... -22.90 eV for the cell shown
Space group ... No. 229

a = 6.1778 Å, b = 6.1778 Å, c = 6.1778 Å
α = 109.47°, β = 109.47°, γ = 109.47°
Closest atoms and distances in Å follow each position.
Element x y z (fractional)
Al (0.7500, 0.2500, 0.5000)  4 Al 2.52
Al (0.5000, 0.7500, 0.2500)  4 Al 2.52
Tm (0.0000, 0.0000, 0.0000)  24 Al 3.99
Al (0.2500, 0.5000, 0.7500)  4 Al 2.52
Al (0.5000, 0.2500, 0.7500)  4 Al 2.52
Al (0.2500, 0.7500, 0.5000)  4 Al 2.52
Al (0.7500, 0.5000, 0.2500)  4 Al 2.52

(7)
# TmAl11

An optimized crystal structure of TmAl11 (PBE-GGA, Alexandria via LeMat-Bulk).

## Properties
Energy relative to the elements ... -0.029 eV/atom
E ... -91.99 eV for the cell shown
Space group ... No. 141

a = 7.1783 Å, b = 8.5550 Å, c = 8.5550 Å
α = 79.86°, β = 65.19°, γ = 65.19°
Closest atoms and distances in Å follow each position.
Element x y z (fractional)
Tm (0.5000, 0.0000, 0.0000)  18 Al 3.40-3.59
Al (0.5967, 0.0844, 0.3268)  8 Al 2.66-2.98
Al (0.7421, 0.8268, 0.5844)  8 Al 2.66-2.98
Al (0.8750, 0.7500, 0.2500)  10 Al 2.72-2.89
Al (0.0765, 0.3268, 0.9156)  8 Al 2.66-2.98
Al (0.1533, 0.1732, 0.4156)  8 Al 2.66-2.98
Al (0.3189, 0.6732, 0.0844)  8 Al 2.66-2.98
Al (0.7500, 0.5000, 0.5000)  12 Al 2.89-2.98
Tm (0.2500, 0.5000, 0.5000)  18 Al 3.40-3.59
Al (0.3189, 0.0844, 0.6732)  8 Al 2.66-2.98
Al (0.8750, 0.2500, 0.7500)  10 Al 2.72-2.89
Al (0.8750, 0.2500, 0.2500)  10 Al 2.72-2.89
Al (0.7421, 0.5844, 0.8268)  8 Al 2.66-2.98
Al (0.6735, 0.1732, 0.5844)  8 Al 2.66-2.98
Al (0.0000, 0.0000, 0.0000)  12 Al 2.89-2.98
Al (0.0079, 0.6732, 0.9156)  8 Al 2.66-2.98
Al (0.0079, 0.9156, 0.6732)  8 Al 2.66-2.98
Al (0.6735, 0.5844, 0.1732)  8 Al 2.66-2.98
Al (0.5967, 0.3268, 0.0844)  8 Al 2.66-2.98
Al (0.4311, 0.8268, 0.4156)  8 Al 2.66-2.98
Al (0.3750, 0.7500, 0.7500)  10 Al 2.72-2.89
Al (0.1533, 0.4156, 0.1732)  8 Al 2.66-2.98
Al (0.0765, 0.9156, 0.3268)  8 Al 2.66-2.98
Al (0.4311, 0.4156, 0.8268)  8 Al 2.66-2.98

(8)
# TmAl2

An optimized crystal structure of TmAl2 (PBE-GGA, Alexandria via LeMat-Bulk).

## Properties
Energy relative to the elements ... -0.241 eV/atom
E ... -12.68 eV for the cell shown
Space group ... No. 139

a = 3.3187 Å, b = 3.3187 Å, c = 6.0610 Å
α = 105.89°, β = 105.89°, γ = 90.00°
Closest atoms and distances in Å follow each position.
Element x y z (fractional)
Tm (0.0000, 0.0000, 0.0000)  8 Al 3.13, 4 Tm 3.32
Al (0.3146, 0.3146, 0.6293)  4 Al 2.76
Al (0.6854, 0.6854, 0.3707)  4 Al 2.76

(9)
# TmAl6

An optimized crystal structure of TmAl6 (PBE-GGA, Alexandria via LeMat-Bulk).

## Properties
Energy relative to the elements ... -0.156 eV/atom
E ... -56.04 eV for the cell shown
Space group ... No. 125

a = 5.8735 Å, b = 5.8735 Å, c = 7.8373 Å
α = 90.00°, β = 90.00°, γ = 90.00°
Closest atoms and distances in Å follow each position.
Element x y z (fractional)
Al (0.5000, 0.5000, 0.1593)  5 Al 2.50-2.66
Al (0.6723, 0.8277, 0.6445)  4 Al 2.61-2.86
Al (0.0000, 0.0000, 0.1593)  5 Al 2.50-2.66
Al (0.0000, 0.0000, 0.8407)  5 Al 2.50-2.66
Al (0.8277, 0.3277, 0.6445)  4 Al 2.61-2.86
Al (0.1723, 0.3277, 0.3555)  4 Al 2.61-2.86
Al (0.3277, 0.1723, 0.6445)  4 Al 2.61-2.86
Al (0.1723, 0.6723, 0.6445)  4 Al 2.61-2.86
Tm (0.0000, 0.5000, 0.0000)  12 Al 3.13-3.19
Al (0.6723, 0.1723, 0.3555)  4 Al 2.61-2.86
Al (0.8277, 0.6723, 0.3555)  4 Al 2.61-2.86
Tm (0.5000, 0.0000, 0.0000)  12 Al 3.13-3.19
Al (0.5000, 0.5000, 0.8407)  5 Al 2.50-2.66
Al (0.3277, 0.8277, 0.3555)  4 Al 2.61-2.86

(10)
# Tm3Al4

An optimized crystal structure of Tm3Al4 (PBE-GGA, Alexandria via LeMat-Bulk).

## Properties
Energy relative to the elements ... -0.383 eV/atom
E ... -62.13 eV for the cell shown
Space group ... No. 63

a = 4.1182 Å, b = 5.8532 Å, c = 14.0775 Å
α = 90.00°, β = 90.00°, γ = 110.60°
Closest atoms and distances in Å follow each position.
Element x y z (fractional)
Al (0.4203, 0.8407, 0.4016)  3 Al 2.62-2.64
Tm (0.7056, 0.4112, 0.4006)  8 Al 3.07-3.35
Tm (0.2968, 0.5935, 0.6001)  8 Al 3.07-3.35
Tm (0.2968, 0.5935, 0.9006)  8 Al 3.07-3.35
Tm (0.7056, 0.4111, 0.1001)  8 Al 3.07-3.35
Tm (0.0047, 0.0093, 0.2503)  7 Al 3.03-3.20
Al (0.0012, 0.0023, 0.0004)  4 Al 2.64
Al (0.2810, 0.5620, 0.2504)  2 Al 2.62
Al (0.7213, 0.4425, 0.7503)  2 Al 2.62
Al (0.5820, 0.1640, 0.5991)  3 Al 2.62-2.64
Tm (0.9976, 0.9953, 0.7503)  7 Al 3.03-3.20
Al (0.0011, 0.0023, 0.5004)  4 Al 2.64
Al (0.5820, 0.1640, 0.9016)  3 Al 2.62-2.64
Al (0.4203, 0.8406, 0.0991)  3 Al 2.62-2.64

(11)
# TmAl4

An optimized crystal structure of TmAl4 (PBE-GGA, Alexandria via LeMat-Bulk).

## Properties
Energy relative to the elements ... -0.312 eV/atom
E ... -42.00 eV for the cell shown
Space group ... No. 74

a = 4.4647 Å, b = 6.1395 Å, c = 7.7985 Å
α = 113.18°, β = 106.63°, γ = 90.00°
Closest atoms and distances in Å follow each position.
Element x y z (fractional)
Al (0.5000, 0.0000, 0.0000)  2 Al 2.71
Al (0.3012, 0.7717, 0.6024)  7 Al 2.63-2.90
Tm (0.1104, 0.8604, 0.2208)  13 Al 3.05-3.12
Al (0.6988, 0.6692, 0.3976)  7 Al 2.63-2.90
Al (0.8869, 0.6369, 0.7737)  10 Al 2.86-3.12, 3 Tm 3.05-3.07
Al (0.1131, 0.3631, 0.2263)  10 Al 2.86-3.12, 3 Tm 3.05-3.07
Tm (0.8896, 0.1396, 0.7792)  13 Al 3.05-3.12
Al (0.3012, 0.3308, 0.6024)  7 Al 2.63-2.90
Al (0.5000, 0.5000, 0.0000)  2 Al 2.71
Al (0.6988, 0.2283, 0.3976)  7 Al 2.63-2.90

(12)
# TmAl5

An optimized crystal structure of TmAl5 (PBE-GGA, Alexandria via LeMat-Bulk).

## Properties
Energy relative to the elements ... -0.228 eV/atom
E ... -24.55 eV for the cell shown
Space group ... No. 65

a = 4.2012 Å, b = 4.2108 Å, c = 6.5262 Å
α = 108.82°, β = 90.00°, γ = 90.00°
Closest atoms and distances in Å follow each position.
Element x y z (fractional)
Al (0.5000, 0.5000, 0.0000)  4 Tm 2.97, 8 Al 3.00-3.02
Al (0.5000, 0.1731, 0.3462)  10 Al 2.82-3.00, 2 Tm 3.00
Al (0.5000, 0.8269, 0.6538)  10 Al 2.82-3.00, 2 Tm 3.00
Tm (0.0000, 0.0000, 0.0000)  12 Al 2.97-3.02
Al (0.0000, 0.3248, 0.6496)  10 Al 2.80-3.02, 2 Tm 3.02
Al (0.0000, 0.6752, 0.3504)  10 Al 2.80-3.02, 2 Tm 3.02